[1]
Density functional theory data (PBE) for an optimized crystal structure of U6SnSe12.

Output
symmetry = R-3, No. 148
total energy = -6.99 eV/atom
E_form (uncorrected) = -1.012 eV per atom

Structure (POSCAR):
```
U6SnSe12
1.0
6.390 3.689 3.819
-6.390 3.689 3.819
0.000 -7.378 3.819
U Sn Se
6 1 12
direct
0.122 0.805 0.633
0.195 0.367 0.878
0.367 0.878 0.195
0.633 0.122 0.805
0.805 0.633 0.122
0.878 0.195 0.367
0.500 0.500 0.500
0.072 0.677 0.926
0.074 0.928 0.323
0.171 0.440 0.557
0.323 0.074 0.928
0.440 0.557 0.171
0.443 0.829 0.560
0.557 0.171 0.440
0.560 0.443 0.829
0.677 0.926 0.072
0.829 0.560 0.443
0.926 0.072 0.677
0.928 0.323 0.074
```


[2]
Density functional theory data (PBE) for an optimized crystal structure of U4SnSe8.

Output
symmetry = C2/m, No. 12
total energy = -6.92 eV/atom
E_form (uncorrected) = -0.999 eV per atom

Structure (POSCAR):
```
U4SnSe8
1.0
7.106 -4.138 0.000
7.106 4.138 0.000
-7.016 0.000 7.153
U Sn Se
4 1 8
direct
0.238 0.238 0.497
0.246 0.754 0.000
0.754 0.246 0.000
0.762 0.762 0.503
0.500 0.500 0.500
0.033 0.033 0.837
0.036 0.520 0.330
0.480 0.480 0.175
0.480 0.964 0.670
0.520 0.036 0.330
0.520 0.520 0.825
0.964 0.480 0.670
0.967 0.967 0.163
```